Here is crystalline Zr2TlIn at its relaxed geometry from the Alexandria database. Energies are from PBE.

Lattice parameters (Å, degrees): 7.2620 7.2620 7.2620 90.00 90.00 90.00
Closest atoms and distances in Å follow each position.
Space group F-43m (No. 216)
Inequivalent atoms, fractional coordinates:
Zr (0.0000, 0.0000, 0.0000) x4  4 Zr 3.14, 4 Tl 3.14
Zr (0.2500, 0.2500, 0.2500) x4  4 Zr 3.14, 4 In 3.14
Tl (0.2500, 0.2500, 0.7500) x4  4 Zr 3.14, 4 In 3.14
In (0.0000, 0.0000, 0.5000) x4  4 Zr 3.14, 4 Tl 3.14

Properties
Formation enthalpy at 0 K, eV per atom: 0.33
N(E_F), states/eV/cell: 20.0
Offset from the most stable computed form, kcal/mol of atoms: 11.98
Mass density, g/cm3: 8.70
Total magnetization, μB per atom: 0.44



Here is crystalline NaLiTlBi at its relaxed geometry from the Alexandria database. Energies are from PBE.

Lattice parameters (Å, degrees): 7.4584 7.4584 7.4584 90.00 90.00 90.00
Closest atoms and distances in Å follow each position.
Space group F-43m (No. 216)
Inequivalent atoms, fractional coordinates:
Na (0.0000, 0.0000, 0.0000) x4  4 Tl 3.23, 4 Bi 3.23
Li (0.0000, 0.0000, 0.5000) x4  4 Bi 3.23, 4 Tl 3.23
Tl (0.2500, 0.2500, 0.2500) x4  4 Na 3.23, 4 Li 3.23
Bi (0.2500, 0.2500, 0.7500) x4  4 Na 3.23, 4 Li 3.23

Properties
Formation enthalpy at 0 K, eV per atom: -0.31
N(E_F), states/eV/cell: 6.5
Mass density, g/cm3: 7.10
Total magnetization, μB per atom: 0.00



Here is crystalline CaMg2Si2 at its relaxed geometry from the Alexandria database. Energies are from PBE.

Lattice parameters (Å, degrees): 8.0788 8.0788 3.0766 90.00 90.00 90.00
Closest atoms and distances in Å follow each position.
Space group P4/mbm (No. 127)
Inequivalent atoms, fractional coordinates:
Ca (0.0000, 0.0000, 0.0000) x2  2 Ca 3.08, 4 Mg 3.20, 8 Si 3.36
Mg (0.1243, 0.3757, 0.0000) x4  6 Si 2.79-2.87, 3 Mg 2.84-3.08
Si (0.1722, 0.6722, 0.5000) x4  6 Mg 2.79-2.87, 2 Si 3.08

Properties
N(E_F), states/eV/cell: 5.4
Mass density, g/cm3: 2.40
Total magnetization, μB per atom: 0.00
DFT total energy, eV for the cell shown: -32.79



Here is crystalline Ba2HfP at its relaxed geometry from the Alexandria database. Energies are from PBE.

Lattice parameters (Å, degrees): 11.7833 11.7833 4.9767 90.00 90.00 90.00
Closest atoms and distances in Å follow each position.
Space group I-42d (No. 122)
Inequivalent atoms, fractional coordinates:
Ba (0.0965, 0.2500, 0.1250) x8  2 P 3.22
Hf (0.0000, 0.0000, 0.5000) x4  2 P 2.49
P (0.0000, 0.0000, 0.0000) x4  2 Hf 2.49

Properties
Formation enthalpy at 0 K, eV per atom: -0.08
N(E_F), states/eV/cell: 26.9
Mass density, g/cm3: 4.65
Total magnetization, μB per atom: 0.00



Here is crystalline La6Sb5I at its relaxed geometry from the Alexandria database. Energies are from PBE.

Lattice parameters (Å, degrees): 8.0238 13.8792 7.9996 90.00 109.46 90.00
Closest atoms and distances in Å follow each position.
Space group C2/m (No. 12)
Inequivalent atoms, fractional coordinates:
La (0.2387, 0.0000, 0.2555) x4  5 Sb 3.16-3.26, 1 I 3.38
La (0.2404, 0.1733, 0.7418) x8  5 Sb 3.20-3.29, 1 I 3.39
Sb (0.0000, 0.0000, 0.5000) x2  6 La 3.16-3.28
Sb (0.0000, 0.1676, 0.0000) x4  6 La 3.26
Sb (0.0000, 0.3382, 0.5000) x4  6 La 3.20-3.29
I (0.0000, 0.5000, 0.0000) x2  6 La 3.38-3.39

Properties
N(E_F), states/eV/cell: 7.3
Mass density, g/cm3: 6.20
Total magnetization, μB per atom: 0.00
DFT total energy, eV for the cell shown: -134.46



Here is crystalline BaZrSb2Pd2 at its relaxed geometry from the Alexandria database. Energies are from PBE.

Lattice parameters (Å, degrees): 4.6236 4.6236 8.1864 90.00 90.00 120.00
Closest atoms and distances in Å follow each position.
Space group P-3m1 (No. 164)
Inequivalent atoms, fractional coordinates:
Ba (0.0000, 0.0000, 0.0000) x1  6 Sb 3.53
Zr (0.0000, 0.0000, 0.5000) x1  6 Pd 2.91, 6 Sb 3.21
Sb (0.3333, 0.6667, 0.7183) x2  4 Pd 2.74-2.95
Pd (0.3333, 0.6667, 0.3579) x2  4 Sb 2.74-2.95, 3 Zr 2.91

Properties
N(E_F), states/eV/cell: 3.5
Mass density, g/cm3: 7.50
Total magnetization, μB per atom: 0.00
DFT total energy, eV for the cell shown: -34.30